Computed, not measured: an optimized crystal structure of ThBrF3 at the GGA-PBE level of DFT.

Output
Its crystal system is orthorhombic. The raw formation energy is -3.51 eV/atom.

Cell lengths 8.2504, 3.9878, 11.1354 Å; angles 90.00, 90.00, 90.00 degrees
Closest atoms and distances in Å follow each position.
Fractional coordinates of all 20 atoms:
Th: 0.1116 0.2500 0.1492  7 F 2.32-2.55
Th: 0.3884 0.7500 0.6492  7 F 2.32-2.55
Th: 0.6116 0.2500 0.3508  7 F 2.32-2.55
Th: 0.8884 0.7500 0.8508  7 F 2.32-2.55
Br: 0.1755 0.2500 0.5199  2 Th 3.02, 7 F 3.07-3.37
Br: 0.3245 0.7500 0.0199  2 Th 3.02, 7 F 3.07-3.37
Br: 0.6755 0.2500 0.9801  2 Th 3.02, 7 F 3.07-3.37
Br: 0.8245 0.7500 0.4801  2 Th 3.02, 7 F 3.07-3.37
F: 0.0426 0.2500 0.9359  3 Th 2.44-2.55, 3 F 2.54-2.55
F: 0.1217 0.7500 0.2572  2 Th 2.33, 1 F 2.54
F: 0.1351 0.7500 0.7514  2 Th 2.32-2.38
F: 0.3649 0.2500 0.2514  2 Th 2.32-2.38
F: 0.3783 0.2500 0.7572  2 Th 2.33, 1 F 2.54
F: 0.4574 0.7500 0.4359  3 Th 2.44-2.55, 3 F 2.54-2.55
F: 0.5426 0.2500 0.5641  3 Th 2.44-2.55, 3 F 2.54-2.55
F: 0.6217 0.7500 0.2428  2 Th 2.33, 1 F 2.54
F: 0.6351 0.7500 0.7486  2 Th 2.32-2.38
F: 0.8649 0.2500 0.2486  2 Th 2.32-2.38
F: 0.8783 0.2500 0.7428  2 Th 2.33, 1 F 2.54
F: 0.9574 0.7500 0.0641  3 Th 2.44-2.55, 3 F 2.54-2.55